Entry 1:
{"formula": "Na4Sr2TiP4", "functional": "meta-GGA SCAN", "state": "single point on PBEsol structure", "m_tot_mub_per_cell": 0.00, "e_tot_ev_per_atom": -11.7459, "crystal_system": "monoclinic", "cell": [[4.6211, -8.0634, 0.0000], [4.6211, 8.0634, 0.0000], [-0.0762, 0.0000, 7.3417]], "species": ["Na", "Na", "Na", "Na", "Na", "Na", "Na", "Na", "Sr", "Sr", "Sr", "Sr", "Ti", "Ti", "P", "P", "P", "P", "P", "P", "P", "P"], "frac_coords": [[0.0538, 0.3316, 0.4808], [0.0680, 0.9320, 0.5000], [0.1358, 0.6694, 0.8154], [0.3266, 0.4733, 0.9681], [0.3316, 0.0538, 0.9808], [0.4733, 0.3266, 0.4681], [0.6694, 0.1358, 0.3154], [0.9320, 0.0680, 0.0000], [0.2545, 0.7310, 0.3120], [0.6755, 0.7326, 0.3156], [0.7310, 0.2545, 0.8120], [0.7326, 0.6755, 0.8156], [0.5259, 0.8610, 0.7053], [0.8610, 0.5259, 0.2053], [0.0041, 0.8132, 0.1102], [0.0062, 0.3942, 0.1022], [0.3942, 0.0062, 0.6022], [0.3942, 0.5832, 0.5908], [0.5349, 0.8616, 0.0295], [0.5832, 0.3942, 0.0908], [0.8132, 0.0041, 0.6102], [0.8616, 0.5349, 0.5295]]}

Entry 2:
{"formula": "RbSc2Pb", "functional": "meta-GGA SCAN", "state": "single point on PBEsol structure", "m_tot_mub_per_cell": 0.57, "e_tot_ev_per_atom": -30.7662, "crystal_system": "trigonal", "cell": [[1.7004, 0.9817, 12.5890], [-1.7004, 0.9817, 12.5890], [0.0000, -1.9635, 12.5890]], "species": ["Rb", "Sc", "Sc", "Pb"], "frac_coords": [[0.0000, 0.0000, 0.0000], [0.4226, 0.4226, 0.4226], [0.5774, 0.5774, 0.5774], [0.5000, 0.5000, 0.5000]]}

Entry 3:
{"formula": "AlHI2O", "functional": "meta-GGA SCAN", "state": "single point on PBEsol structure", "m_tot_mub_per_cell": 0.75, "e_tot_ev_per_atom": -17.7681, "crystal_system": "tetragonal", "cell": [[5.8331, 0.0000, 0.0000], [0.0000, 5.8331, 0.0000], [0.0000, 0.0000, 2.8759]], "species": ["Al", "H", "I", "I", "O"], "frac_coords": [[0.0000, 0.0000, 0.0000], [0.5000, 0.5000, 0.5000], [0.0000, 0.5000, 0.5000], [0.5000, 0.0000, 0.5000], [0.5000, 0.5000, 0.0000]]}

Entry 4:
{"formula": "Fe5Ir3", "functional": "meta-GGA SCAN", "state": "single point on PBEsol structure", "m_tot_mub_per_cell": 2.52, "e_tot_ev_per_atom": -38.0968, "crystal_system": "orthorhombic", "cell": [[3.5434, -3.6778, 0.0000], [3.5434, 3.6778, 0.0000], [0.0000, 0.0000, 3.6205]], "species": ["Fe", "Fe", "Fe", "Fe", "Fe", "Ir", "Ir", "Ir"], "frac_coords": [[0.0000, 0.0000, 0.0000], [0.0000, 0.5000, 0.0000], [0.2452, 0.2452, 0.5000], [0.5000, 0.0000, 0.0000], [0.7548, 0.7548, 0.5000], [0.2409, 0.7591, 0.5000], [0.5000, 0.5000, 0.0000], [0.7591, 0.2409, 0.5000]]}

Entry 5:
{"formula": "Li4Mn3Ni2Sb3O16", "functional": "meta-GGA SCAN", "state": "single point on PBEsol structure", "m_tot_mub_per_cell": 6.00, "e_tot_ev_per_atom": -12.7898, "crystal_system": "monoclinic", "cell": [[5.2518, -2.9606, 0.0000], [5.2518, 2.9606, 0.0000], [-0.1605, 0.0000, 9.3787]], "species": ["Li", "Li", "Li", "Li", "Mn", "Mn", "Mn", "Ni", "Ni", "Sb", "Sb", "Sb", "O", "O", "O", "O", "O", "O", "O", "O", "O", "O", "O", "O", "O", "O", "O", "O"], "frac_coords": [[0.0000, 0.0000, 0.0000], [0.2250, 0.2250, 0.1025], [0.5499, 0.5499, 0.5693], [0.8902, 0.8902, 0.4580], [0.0458, 0.0458, 0.7324], [0.2165, 0.7120, 0.2494], [0.7120, 0.2165, 0.2494], [0.2157, 0.2157, 0.4655], [0.5323, 0.5323, 0.9784], [0.0455, 0.5428, 0.7601], [0.5428, 0.0455, 0.7601], [0.7111, 0.7111, 0.2415], [0.0395, 0.0395, 0.3561], [0.0531, 0.5632, 0.3558], [0.2007, 0.7253, 0.8589], [0.2209, 0.2209, 0.8814], [0.3642, 0.3642, 0.6329], [0.3695, 0.9201, 0.6261], [0.3734, 0.8471, 0.1261], [0.4025, 0.4025, 0.1362], [0.5457, 0.5457, 0.3556], [0.5632, 0.0531, 0.3558], [0.7129, 0.7129, 0.8701], [0.7253, 0.2007, 0.8589], [0.8471, 0.3734, 0.1261], [0.8653, 0.8653, 0.6421], [0.8856, 0.8856, 0.1457], [0.9201, 0.3695, 0.6261]]}

Entry 6:
{"formula": "LiAgAu2", "functional": "meta-GGA SCAN", "state": "single point on PBEsol structure", "m_tot_mub_per_cell": 0.00, "e_tot_ev_per_atom": -43.3823, "crystal_system": "tetragonal", "cell": [[-1.9799, 1.9799, 4.0705], [1.9799, -1.9799, 4.0705], [1.9799, 1.9799, -4.0705]], "species": ["Li", "Ag", "Au", "Au"], "frac_coords": [[0.0000, 0.0000, 0.0000], [0.2500, 0.7500, 0.5000], [0.5000, 0.5000, 0.0000], [0.7500, 0.2500, 0.5000]]}

Entry 7:
{"formula": "MnCoNi", "functional": "meta-GGA SCAN", "state": "single point on PBEsol structure", "m_tot_mub_per_cell": 1.77, "e_tot_ev_per_atom": -17.0521, "crystal_system": "trigonal", "cell": [[2.4300, 0.0000, 0.0000], [-1.2150, 2.1045, 0.0000], [0.0000, 0.0000, 5.9792]], "species": ["Mn", "Co", "Ni"], "frac_coords": [[0.0000, 0.0000, 0.0000], [0.3333, 0.6667, 0.3203], [0.6667, 0.3333, 0.6627]]}

Entry 8:
{"formula": "YSb2AsCl", "functional": "meta-GGA SCAN", "state": "single point on PBEsol structure", "m_tot_mub_per_cell": 0.00, "e_tot_ev_per_atom": -25.7705, "crystal_system": "tetragonal", "cell": [[5.2774, 0.0000, 0.0000], [0.0000, 5.2774, 0.0000], [0.0000, 0.0000, 4.9590]], "species": ["Y", "Sb", "Sb", "As", "Cl"], "frac_coords": [[0.0000, 0.0000, 0.0000], [0.0000, 0.5000, 0.5000], [0.5000, 0.0000, 0.5000], [0.5000, 0.5000, 0.0000], [0.0000, 0.0000, 0.5000]]}